[1]
YSbI2N | PBE | optimized geometry

Results
The value obtained for the energy above the most stable polymorph in this dataset is 0.4886 eV per atom. The space group is P4/mmm (123). As for the formation energy (no corrections): 0.567 eV per atom. The calculated total energy is -3.84 eV/atom.

Cell and atoms, written as POSCAR:
```
YSbI2N
1.0
6.004 0.000 0.000
0.000 6.004 0.000
0.000 0.000 6.240
Y Sb I N
1 1 2 1
direct
0.000 0.000 0.000
0.000 0.000 0.500
0.000 0.500 0.000
0.500 0.000 0.000
0.500 0.500 0.500
```

[2]
ErTmAlSn | PBE | optimized geometry

Results
The space group is F-43m (216). The calculated total energy is -4.61 eV/atom. The calculation puts the energy of formation at -162.0 kJ/mol of formula units.

Cell and atoms, written as POSCAR:
```
ErTmAlSn
1.0
0.000 3.663 3.663
3.663 0.000 3.663
3.663 3.663 0.000
Er Tm Al Sn
1 1 1 1
direct
0.000 0.000 0.000
0.500 0.500 0.500
0.750 0.750 0.750
0.250 0.250 0.250
```

[3]
NaMg2PdCl | PBE | optimized geometry

Results
The space group is P4/mmm (123). As for the formation energy (no corrections): -0.107 eV per atom. The calculated total energy is -2.42 eV/atom.

Cell and atoms, written as POSCAR:
```
NaMg2PdCl
1.0
4.922 0.000 0.000
0.000 4.922 0.000
0.000 0.000 4.795
Na Mg Pd Cl
1 2 1 1
direct
0.000 0.000 0.000
0.000 0.500 0.500
0.500 0.000 0.500
0.500 0.500 0.000
0.000 0.000 0.500
```